A PBEsol-optimized structure of CuReAg2. Source: the Alexandria database, functional meta-GGA SCAN.

Calculated values
- ΔE to the lowest computed polymorph (meV per atom) = 0
- space-group type = R3m (160)
- total energy (eV/atom) = -36.937
- crystal system = trigonal

The structure in POSCAR format:
```
CuReAg2
1.0
1.3654 0.7883 9.1384
-1.3654 0.7883 9.1384
0.0000 -1.5767 9.1384
Cu Re Ag
1 1 2
Cartesian
0.0000 0.0000 0.0000
0.0000 0.0000 20.3690
0.0000 0.0000 6.9343
0.0000 0.0000 13.6320
```



A PBEsol-optimized structure of CuRe2Ag. Source: the Alexandria database, functional meta-GGA SCAN.

Calculated values
- space-group type = P4mm (99)
- total energy (eV/atom) = -46.813
- crystal system = tetragonal

The structure in POSCAR format:
```
CuRe2Ag
1.0
2.9287 0.0000 0.0000
0.0000 2.9287 0.0000
0.0000 0.0000 6.8550
Cu Re Ag
1 2 1
Cartesian
0.0000 0.0000 0.0000
0.0000 0.0000 3.1777
1.4644 1.4644 1.7070
1.4644 1.4644 5.2539
```



A PBEsol-optimized structure of CuReAg2. Source: the Alexandria database, functional meta-GGA SCAN.

Calculated values
- ΔE to the lowest computed polymorph (meV per atom) = 42
- space-group type = P4mm (99)
- total energy (eV/atom) = -36.895
- crystal system = tetragonal

The structure in POSCAR format:
```
CuReAg2
1.0
2.6728 0.0000 0.0000
0.0000 2.6728 0.0000
0.0000 0.0000 8.2060
Cu Re Ag
1 1 2
Cartesian
0.0000 0.0000 0.0000
1.3364 1.3364 1.8373
0.0000 0.0000 4.0167
1.3364 1.3364 6.2388
```



A PBEsol-optimized structure of CuReAg. Source: the Alexandria database, functional meta-GGA SCAN.

Calculated values
- space-group type = F-43m (216)
- total energy (eV/atom) = -37.669
- crystal system = cubic

The structure in POSCAR format:
```
CuReAg
1.0
0.0000 2.9592 2.9592
2.9592 0.0000 2.9592
2.9592 2.9592 0.0000
Cu Re Ag
1 1 1
Cartesian
0.0000 0.0000 0.0000
4.4388 4.4388 4.4388
2.9592 2.9592 2.9592
```



A PBEsol-optimized structure of TiCuAg2Rh. Source: the Alexandria database, functional meta-GGA SCAN.

Calculated values
- space-group type = P4/mmm (123)
- total energy (eV/atom) = -24.019
- crystal system = tetragonal

The structure in POSCAR format:
```
TiCuAg2Rh
1.0
4.6991 0.0000 0.0000
0.0000 4.6991 0.0000
0.0000 0.0000 4.3672
Ti Cu Ag Rh
1 1 2 1
Cartesian
0.0000 0.0000 0.0000
0.0000 0.0000 2.1836
0.0000 2.3495 0.0000
2.3495 0.0000 0.0000
2.3495 2.3495 2.1836
```



A PBEsol-optimized structure of CuAgRu2. Source: the Alexandria database, functional meta-GGA SCAN.

Calculated values
- ΔE to the lowest computed polymorph (meV per atom) = 161
- space-group type = Imm2 (44)
- total energy (eV/atom) = -28.499
- crystal system = orthorhombic

The structure in POSCAR format:
```
CuAgRu2
1.0
-1.4154 2.2385 4.3438
1.4154 -2.2385 4.3438
1.4154 2.2385 -4.3438
Cu Ag Ru
1 1 2
Cartesian
0.0000 0.0000 0.0000
1.4154 0.0000 2.1234
0.0000 0.0000 4.4707
0.0000 2.2385 2.2113
```



A PBEsol-optimized structure of CuAg2Ru. Source: the Alexandria database, functional meta-GGA SCAN.

Calculated values
- ΔE to the lowest computed polymorph (meV per atom) = 0
- space-group type = R3m (160)
- total energy (eV/atom) = -27.891
- crystal system = trigonal

The structure in POSCAR format:
```
CuAg2Ru
1.0
1.3596 0.7850 9.0446
-1.3596 0.7850 9.0446
0.0000 -1.5699 9.0446
Cu Ag Ru
1 2 1
Cartesian
0.0000 0.0000 0.0000
0.0000 0.0000 6.8415
0.0000 0.0000 13.4402
0.0000 0.0000 20.1272
```



A PBEsol-optimized structure of CuAgRu2. Source: the Alexandria database, functional meta-GGA SCAN.

Calculated values
- ΔE to the lowest computed polymorph (meV per atom) = 154
- space-group type = Pmmm (47)
- total energy (eV/atom) = -28.505
- crystal system = orthorhombic

The structure in POSCAR format:
```
CuAgRu2
1.0
2.7557 0.0000 0.0000
0.0000 4.3746 0.0000
0.0000 0.0000 4.6137
Cu Ag Ru
1 1 2
Cartesian
0.0000 0.0000 0.0000
1.3778 2.1873 0.0000
0.0000 2.1873 2.3068
1.3778 0.0000 2.3068
```



A PBEsol-optimized structure of Cu2AgRu. Source: the Alexandria database, functional meta-GGA SCAN.

Calculated values
- ΔE to the lowest computed polymorph (meV per atom) = 163
- space-group type = F-43m (216)
- total energy (eV/atom) = -23.629
- crystal system = cubic

The structure in POSCAR format:
```
Cu2AgRu
1.0
0.0000 3.0016 3.0016
3.0016 0.0000 3.0016
3.0016 3.0016 0.0000
Cu Ag Ru
2 1 1
Cartesian
0.0000 0.0000 0.0000
1.5008 1.5008 1.5008
3.0016 3.0016 3.0016
4.5025 4.5025 4.5025
```



A PBEsol-optimized structure of CuAgRu2. Source: the Alexandria database, functional meta-GGA SCAN.

Calculated values
- ΔE to the lowest computed polymorph (meV per atom) = 0
- space-group type = Cm (8)
- total energy (eV/atom) = -28.659
- crystal system = monoclinic

The structure in POSCAR format:
```
CuAgRu2
1.0
4.3612 -1.3430 0.0000
4.3612 1.3430 0.0000
-0.7712 0.0000 4.7013
Cu Ag Ru
1 1 2
Cartesian
0.0000 0.0000 0.0000
6.3886 0.0000 0.9894
1.6549 0.0000 3.3327
4.0242 0.0000 2.4906
```



A PBEsol-optimized structure of CuAgRu2. Source: the Alexandria database, functional meta-GGA SCAN.

Calculated values
- ΔE to the lowest computed polymorph (meV per atom) = 128
- space-group type = Cmmm (65)
- total energy (eV/atom) = -28.532
- crystal system = orthorhombic

The structure in POSCAR format:
```
CuAgRu2
1.0
1.3522 -2.2436 0.0000
1.3522 2.2436 0.0000
0.0000 0.0000 9.1925
Cu Ag Ru
1 1 2
Cartesian
0.0000 0.0000 0.0000
0.0000 0.0000 4.5963
1.3522 0.0000 2.1500
1.3522 0.0000 7.0426
```



A PBEsol-optimized structure of CuAg2Ru. Source: the Alexandria database, functional meta-GGA SCAN.

Calculated values
- ΔE to the lowest computed polymorph (meV per atom) = 48
- space-group type = Cmm2 (35)
- total energy (eV/atom) = -27.844
- crystal system = orthorhombic

The structure in POSCAR format:
```
CuAg2Ru
1.0
1.4150 -2.2523 0.0000
1.4150 2.2523 0.0000
0.0000 0.0000 9.1856
Cu Ag Ru
1 2 1
Cartesian
0.0000 0.0000 0.0000
0.0000 0.0000 4.5027
1.4150 0.0000 6.9618
1.4150 0.0000 2.0928
```



A PBEsol-optimized structure of Cu2AgRu. Source: the Alexandria database, functional meta-GGA SCAN.

Calculated values
- ΔE to the lowest computed polymorph (meV per atom) = 111
- space-group type = I-4m2 (119)
- total energy (eV/atom) = -23.681
- crystal system = tetragonal

The structure in POSCAR format:
```
Cu2AgRu
1.0
-1.8686 1.8686 3.8099
1.8686 -1.8686 3.8099
1.8686 1.8686 -3.8099
Cu Ag Ru
2 1 1
Cartesian
0.0000 0.0000 0.0000
0.0000 1.8686 1.9050
1.8686 0.0000 1.9050
0.0000 0.0000 3.8099
```



A PBEsol-optimized structure of CuAgRu2. Source: the Alexandria database, functional meta-GGA SCAN.

Calculated values
- ΔE to the lowest computed polymorph (meV per atom) = 395
- space-group type = Fm-3m (225)
- total energy (eV/atom) = -28.264
- crystal system = cubic

The structure in POSCAR format:
```
CuAgRu2
1.0
0.0000 3.0149 3.0149
3.0149 0.0000 3.0149
3.0149 3.0149 0.0000
Cu Ag Ru
1 1 2
Cartesian
0.0000 0.0000 0.0000
3.0149 3.0149 3.0149
1.5075 1.5075 1.5075
4.5224 4.5224 4.5224
```



A PBEsol-optimized structure of Cu2AgRu. Source: the Alexandria database, functional meta-GGA SCAN.

Calculated values
- ΔE to the lowest computed polymorph (meV per atom) = 0
- space-group type = Imm2 (44)
- total energy (eV/atom) = -23.792
- crystal system = orthorhombic

The structure in POSCAR format:
```
Cu2AgRu
1.0
-1.2928 2.2509 4.5498
1.2928 -2.2509 4.5498
1.2928 2.2509 -4.5498
Cu Ag Ru
2 1 1
Cartesian
0.0000 0.0000 0.0000
0.0000 2.2509 2.4765
1.2928 0.0000 2.3068
0.0000 0.0000 4.7966
```



A PBEsol-optimized structure of CuAgRuS2. Source: the Alexandria database, functional meta-GGA SCAN.

Calculated values
- formation energy from raw total energies (eV per atom) = 1.2424
- space-group type = P4/mmm (123)
- total energy (eV/atom) = -18.887
- crystal system = tetragonal

The structure in POSCAR format:
```
CuAgRuS2
1.0
4.6437 0.0000 0.0000
0.0000 4.6437 0.0000
0.0000 0.0000 4.5659
Cu Ag Ru S
1 1 1 2
Cartesian
0.0000 0.0000 0.0000
0.0000 0.0000 2.2830
2.3219 2.3219 0.0000
0.0000 2.3219 2.2830
2.3219 0.0000 2.2830
```



A PBEsol-optimized structure of CuAgSb. Source: the Alexandria database, functional meta-GGA SCAN.

Calculated values
- ΔE to the lowest computed polymorph (meV per atom) = 0
- formation energy from raw total energies (eV per atom) = 0.0111
- space-group type = F-43m (216)
- total energy (eV/atom) = -27.931
- crystal system = cubic

The structure in POSCAR format:
```
CuAgSb
1.0
0.0000 3.0500 3.0500
3.0500 0.0000 3.0500
3.0500 3.0500 0.0000
Cu Ag Sb
1 1 1
Cartesian
0.0000 0.0000 0.0000
1.5250 1.5250 1.5250
4.5750 4.5750 4.5750
```



A PBEsol-optimized structure of CuAg2Sb2. Source: the Alexandria database, functional meta-GGA SCAN.

Calculated values
- formation energy from raw total energies (eV per atom) = 0.6009
- space-group type = I4/mmm (139)
- total energy (eV/atom) = -29.890
- crystal system = tetragonal

The structure in POSCAR format:
```
CuAg2Sb2
1.0
-2.0700 2.0700 6.6899
2.0700 -2.0700 6.6899
2.0700 2.0700 -6.6899
Cu Ag Sb
1 2 2
Cartesian
0.0000 0.0000 0.0000
0.0000 0.0000 5.4088
0.0000 0.0000 7.9709
2.0700 0.0000 3.3449
0.0000 2.0700 3.3449
```



A PBEsol-optimized structure of CuAg2Sb. Source: the Alexandria database, functional meta-GGA SCAN.

Calculated values
- ΔE to the lowest computed polymorph (meV per atom) = 0
- formation energy from raw total energies (eV per atom) = 0.1097
- space-group type = P4/mmm (123)
- total energy (eV/atom) = -28.689
- crystal system = tetragonal

The structure in POSCAR format:
```
CuAg2Sb
1.0
4.0174 0.0000 0.0000
0.0000 4.0174 0.0000
0.0000 0.0000 4.2471
Cu Ag Sb
1 2 1
Cartesian
0.0000 0.0000 0.0000
0.0000 2.0087 2.1236
2.0087 0.0000 2.1236
2.0087 2.0087 0.0000
```



A PBEsol-optimized structure of CuAg2Sb. Source: the Alexandria database, functional meta-GGA SCAN.

Calculated values
- ΔE to the lowest computed polymorph (meV per atom) = 111
- formation energy from raw total energies (eV per atom) = 0.2205
- space-group type = C2/m (12)
- total energy (eV/atom) = -28.578
- crystal system = monoclinic

The structure in POSCAR format:
```
CuAg2Sb
1.0
2.8005 -4.8687 0.0000
2.8005 4.8687 0.0000
-1.5623 0.0000 2.6024
Cu Ag Sb
1 2 1
Cartesian
0.0000 0.0000 0.0000
0.6191 2.4343 1.3012
0.6191 -2.4343 1.3012
2.8005 0.0000 0.0000
```